No. 1
## Pm12Y2Ho5 (PBE)

Data for an optimized crystal structure of Pm12Y2Ho5.

a = 9.399 Å, b = 9.421 Å, c = 8.384 Å
α = 89.76°, β = 90.00°, γ = 119.92°
Atoms (fractional coordinates):
Pm 0.829 0.216 0.621
Pm 0.605 0.633 0.780
Pm 0.163 0.327 0.870
Pm 0.387 0.216 0.621
Pm 0.613 0.784 0.379
Pm 0.837 0.673 0.130
Pm 0.028 0.633 0.780
Pm 0.171 0.784 0.379
Pm 0.972 0.367 0.220
Pm 0.395 0.367 0.220
Pm 0.450 0.899 0.710
Pm 0.550 0.101 0.290
Ho 0.749 0.499 0.466
Ho 0.354 0.708 0.061
Ho 0.251 0.501 0.534
Ho 0.000 0.000 0.500
Ho 0.646 0.292 0.939
Y 0.215 0.000 0.000
Y 0.785 0.000 0.000

As for the excess energy over the best structure of this formula in the dataset: 10 meV/atom. As for the crystal system: monoclinic. The formation energy is 0.13 eV per atom.

No. 2
## CsPPbSe4 (PBE)

Data for an optimized crystal structure of CsPPbSe4.

a = 7.021 Å, b = 7.140 Å, c = 9.900 Å
α = 90.00°, β = 108.51°, γ = 90.00°
Atoms (fractional coordinates):
Cs 0.264 0.250 0.067
Cs 0.736 0.750 0.933
Se 0.993 0.998 0.284
Se 0.616 0.250 0.447
Se 0.007 0.002 0.716
Se 0.615 0.250 0.818
Se 0.384 0.750 0.553
Se 0.385 0.750 0.182
Se 0.993 0.502 0.284
Se 0.007 0.498 0.716
P 0.803 0.250 0.675
P 0.197 0.750 0.325
Pb 0.243 0.250 0.544
Pb 0.757 0.750 0.456

As for the crystal system: monoclinic. For the formation energy without anion corrections, the calculation gives -0.58 eV/atom.

No. 3
## Na9Sr11Hg4 (PBE)

Data for an optimized crystal structure of Na9Sr11Hg4.

a = 4.378 Å, b = 15.580 Å, c = 15.580 Å
α = 113.19°, β = 90.00°, γ = 90.00°
Atoms (fractional coordinates):
Na 0.500 0.845 0.368
Na 0.500 0.924 0.780
Na 0.500 0.076 0.220
Na 0.500 0.500 0.500
Na 0.500 0.155 0.632
Na 0.500 0.632 0.155
Na 0.500 0.368 0.845
Na 0.500 0.220 0.076
Na 0.500 0.780 0.924
Sr 0.000 0.000 0.000
Sr 0.000 0.917 0.582
Sr 0.000 0.842 0.158
Sr 0.000 0.627 0.373
Sr 0.000 0.310 0.310
Sr 0.000 0.418 0.083
Sr 0.000 0.373 0.627
Sr 0.000 0.582 0.917
Sr 0.000 0.158 0.842
Sr 0.000 0.690 0.690
Sr 0.000 0.083 0.418
Hg 0.500 0.255 0.452
Hg 0.500 0.452 0.255
Hg 0.500 0.548 0.745
Hg 0.500 0.745 0.548

As for the crystal system: orthorhombic. The formation energy is -0.17 eV per atom.

No. 4
## TaPtRh2 (PBE)

Data for an optimized crystal structure of TaPtRh2.

a = 4.833 Å, b = 4.833 Å, c = 4.821 Å
α = 79.25°, β = 79.25°, γ = 34.04°
Atoms (fractional coordinates):
Ta 0.000 0.000 0.500
Rh 0.256 0.256 0.746
Rh 0.744 0.744 0.254
Pt 0.500 0.500 0.000

As for the crystal system: monoclinic. The formation energy is -0.40 eV per atom.

Number 1: uncorrected energy -4.75 eV per atom, DOS(E_F) 25.5 states/eV/f.u.. Number 2: uncorrected energy -4.00 eV per atom, DOS(E_F) 0.0 states/eV/f.u.. Number 3: uncorrected energy -1.49 eV per atom, DOS(E_F) 15.0 states/eV/f.u.. Number 4: uncorrected energy -8.55 eV per atom, DOS(E_F) 5.0 states/eV/f.u..